Computed, not measured: a relaxed Rb2BaNa2F7 crystal at the PBE-GGA level of DFT.

```
data_Rb2BaNa2F7
_space_group_name_H-M_alt 'P 1'
_space_group_IT_number 1
_space_group_name_Hall 'P 1'
_cell_length_a 4.337
_cell_length_b 4.337
_cell_length_c 11.846
_cell_angle_alpha 79.45
_cell_angle_beta 79.45
_cell_angle_gamma 90.00
loop_
_atom_site_label
_atom_site_fract_x
_atom_site_fract_y
_atom_site_fract_z
F1 0.581 0.081 0.838
F2 0.419 0.919 0.162
F3 0.500 0.500 0.000
F4 0.919 0.419 0.162
F5 0.698 0.698 0.605
F6 0.081 0.581 0.838
F7 0.302 0.302 0.395
Na1 0.600 0.600 0.801
Na2 0.400 0.400 0.199
Ba1 0.000 0.000 0.000
Rb1 0.818 0.818 0.363
Rb2 0.182 0.182 0.637
```

## Properties
* symmetry: No. 139
* formation energy from raw total energies: -2.7440 eV/atom

=====

Computed, not measured: a relaxed BaNa2RhF8 crystal at the PBE-GGA level of DFT.

```
data_BaNa2RhF8
_space_group_name_H-M_alt 'P 1'
_space_group_IT_number 1
_space_group_name_Hall 'P 1'
_cell_length_a 4.560
_cell_length_b 5.549
_cell_length_c 7.643
_cell_angle_alpha 89.90
_cell_angle_beta 89.94
_cell_angle_gamma 90.91
loop_
_atom_site_label
_atom_site_fract_x
_atom_site_fract_y
_atom_site_fract_z
F1 0.524 0.741 0.500
F2 0.333 0.219 0.000
F3 0.144 0.790 0.189
F4 0.667 0.781 0.000
F5 0.855 0.210 0.188
F6 0.856 0.210 0.811
F7 0.476 0.259 0.500
F8 0.145 0.790 0.812
Na1 0.499 0.499 0.748
Na2 0.501 0.501 0.252
Ba1 0.000 0.000 0.500
Rh1 0.000 0.000 0.000
```

## Properties
* symmetry: No. 2
* formation energy from raw total energies: -2.5112 eV/atom

=====

Computed, not measured: a relaxed BaNaRhF6 crystal at the PBE-GGA level of DFT.

```
data_BaNaRhF6
_space_group_name_H-M_alt 'P 1'
_space_group_IT_number 1
_space_group_name_Hall 'P 1'
_cell_length_a 5.544
_cell_length_b 5.707
_cell_length_c 5.707
_cell_angle_alpha 120.00
_cell_angle_beta 90.00
_cell_angle_gamma 90.00
loop_
_atom_site_label
_atom_site_fract_x
_atom_site_fract_y
_atom_site_fract_z
F1 0.291 0.990 0.705
F2 0.709 0.295 0.010
F3 0.291 0.715 0.010
F4 0.291 0.295 0.285
F5 0.709 0.715 0.705
F6 0.709 0.990 0.285
Rh1 0.500 0.000 0.000
Ba1 0.000 0.333 0.667
Na1 0.500 0.667 0.333
```

## Properties
* symmetry: No. 149
* formation energy from raw total energies: -2.6379 eV/atom

=====

Computed, not measured: a relaxed BaNa2RuF8 crystal at the PBE-GGA level of DFT.

```
data_BaNa2RuF8
_space_group_name_H-M_alt 'P 1'
_space_group_IT_number 1
_space_group_name_Hall 'P 1'
_cell_length_a 4.579
_cell_length_b 5.557
_cell_length_c 7.673
_cell_angle_alpha 89.94
_cell_angle_beta 89.97
_cell_angle_gamma 89.69
loop_
_atom_site_label
_atom_site_fract_x
_atom_site_fract_y
_atom_site_fract_z
Ru1 0.000 0.000 0.000
F1 0.852 0.210 0.810
F2 0.148 0.790 0.810
F3 0.326 0.215 0.000
F4 0.148 0.790 0.190
F5 0.465 0.259 0.500
F6 0.674 0.785 0.000
F7 0.535 0.741 0.500
F8 0.852 0.210 0.190
Ba1 0.000 0.000 0.500
Na1 0.500 0.500 0.745
Na2 0.500 0.500 0.255
```

## Properties
* symmetry: No. 2
* formation energy from raw total energies: -2.6015 eV/atom

=====

no.,mass density (g/cm³)
1,3.76
2,3.76
3,4.00
4,3.71